A relaxed Er3Tm2Ni2 crystal. Source: the Alexandria database, functional PBE.

```
7
Lattice="6.006 -1.777 0.000 6.006 1.777 0.000 -3.982 0.000 7.923" Properties=species:S:1:pos:R:3 pbc="T T T"
Er 0.000 0.000 0.000
Er -0.345 0.000 3.440
Er 8.375 0.000 4.484
Tm 3.250 0.000 1.490
Tm 4.780 0.000 6.433
Ni 0.866 0.000 6.037
Ni 7.163 0.000 1.886
```

Properties
**Calculated formation energy**: -0.2797 eV per atom
**N(E_F)**: 9.1 states/eV per cell
**Calculated volume**: 169.2 Å³/f.u.
**Theoretical density**: 9.39 g cm⁻³
**Crystal system**: monoclinic

=====

A relaxed Be3Co4Ge crystal. Source: the Alexandria database, functional PBE.

```
8
Lattice="3.773 0.000 0.000 0.000 3.773 0.000 0.000 0.000 5.358" Properties=species:S:1:pos:R:3 pbc="T T T"
Be 0.000 0.000 0.000
Be 0.000 0.000 2.679
Be 1.886 1.886 0.000
Co 0.000 1.886 1.274
Co 0.000 1.886 4.084
Co 1.886 0.000 1.274
Co 1.886 0.000 4.084
Ge 1.886 1.886 2.679
```

Properties
**Calculated formation energy**: -0.3311 eV per atom
**N(E_F)**: 4.4 states/eV per cell
**Calculated volume**: 76.3 Å³/f.u.
**Theoretical density**: 7.30 g cm⁻³
**Crystal system**: tetragonal

=====

A relaxed Ce2Fe3B12W crystal. Source: the Alexandria database, functional PBE.

```
18
Lattice="2.722 1.571 7.758 -2.722 1.571 7.758 0.000 -3.143 7.758" Properties=species:S:1:pos:R:3 pbc="T T T"
Ce 0.000 0.000 3.278
Ce 0.000 0.000 19.997
Fe -1.361 -0.786 7.758
Fe -1.361 0.786 15.517
Fe 0.000 1.571 7.758
B 0.000 -0.997 6.164
B -0.863 0.498 6.164
B -1.019 -0.588 9.812
B 0.000 -1.176 13.463
B -1.019 0.588 13.463
B 0.863 0.498 6.164
B -0.863 -0.498 17.111
B 1.019 -0.588 9.812
B 0.000 1.176 9.812
B 1.019 0.588 13.463
B 0.863 -0.498 17.111
B 0.000 0.997 17.111
W 0.000 0.000 11.638
```

Properties
**Calculated formation energy**: 0.1230 eV per atom
**N(E_F)**: 10.8 states/eV per cell
**Calculated volume**: 199.1 Å³/f.u.
**Theoretical density**: 6.35 g cm⁻³
**Crystal system**: trigonal

=====

A relaxed Mn2NiCl crystal. Source: the Alexandria database, functional PBE.

```
4
Lattice="2.974 0.000 0.000 0.000 3.082 0.000 0.000 0.000 6.965" Properties=species:S:1:pos:R:3 pbc="T T T"
Mn 0.000 0.000 1.424
Mn 0.000 0.000 5.541
Ni 1.487 1.541 0.000
Cl 1.487 0.000 3.482
```

Properties
**Energy relative to the lowest polymorph listed for this composition**: 0.000 eV/atom
**N(E_F)**: 2.0 states/eV per cell
**Calculated volume**: 63.8 Å³/f.u.
**Theoretical density**: 5.31 g cm⁻³
**ΔE_f (raw)**: -0.11 eV per formula unit
**Crystal system**: orthorhombic

=====

A relaxed Cs2LaErSe4 crystal. Source: the Alexandria database, functional PBE.

```
8
Lattice="7.565 0.000 0.000 0.000 4.365 0.000 -2.513 0.000 8.381" Properties=species:S:1:pos:R:3 pbc="T T T"
Cs 0.000 0.000 0.000
Cs 3.782 2.183 0.000
La -1.257 2.183 4.191
Er 2.526 0.000 4.191
Se 0.102 0.000 5.777
Se 1.352 2.183 2.639
Se 3.699 2.183 5.743
Se 4.949 0.000 2.605
```

Properties
**N(E_F)**: 0.0 states/eV per cell
**Calculated volume**: 276.8 Å³/f.u.
**Theoretical density**: 5.33 g cm⁻³
**ΔE_f (raw)**: -14.04 eV per formula unit
**Crystal system**: monoclinic

=====

A relaxed CsTcPd3 crystal. Source: the Alexandria database, functional PBE.

```
5
Lattice="5.213 0.000 0.000 0.000 5.213 0.000 0.000 0.000 5.213" Properties=species:S:1:pos:R:3 pbc="T T T"
Cs 0.000 0.000 0.000
Tc 2.606 2.606 2.606
Pd 0.000 0.000 2.606
Pd 0.000 2.606 0.000
Pd 2.606 0.000 0.000
```

Properties
**Calculated formation energy**: 2.0603 eV per atom
**Energy relative to the lowest polymorph listed for this composition**: 1.232 eV/atom
**N(E_F)**: 4.7 states/eV per cell
**Calculated volume**: 141.6 Å³/f.u.
**Theoretical density**: 6.45 g cm⁻³
**Crystal system**: cubic

=====

Question: Which value of N(E_F) does entry 4 give?
Answer: 2.0 states/eV per cell

=====

Question: calculated volume of number 1 (Er3Tm2Ni2)?
Answer: 169.2 Å³/f.u.